Mg2PPt | SCAN | PBEsol geometry

Properties
The formation energy comes out at -2.50 eV/f.u. For the density of states at the Fermi level, the calculation gives 0.2304 states/eV/atom. The value obtained for the uncorrected energy is -93.04 eV per formula unit. As for the crystal system: orthorhombic.

abc: 4.6687 4.6687 2.9627
angles: 90.00 90.00 102.93
Element x y z (fractional)
1 Mg 0.0000 0.5000 0.0000
2 Mg 0.5000 0.0000 0.0000
3 P 0.0000 0.0000 0.5000
4 Pt 0.5000 0.5000 0.5000